Entry 1:
A plane-wave DFT calculation with PBE was carried out for an optimized crystal structure of NdSm3Dy2Tm6.

Structure (CIF):
```
data_NdSm3Dy2Tm6
_chemical_formula_sum 'Nd2 Sm6 Dy4 Tm12'
_space_group_name_H-M_alt 'C 1 2/m 1'
_space_group_IT_number 12
_space_group_name_Hall '-C 2y'
_cell_length_a 6.154
_cell_length_b 10.654
_cell_length_c 11.682
_cell_angle_alpha 90.00
_cell_angle_beta 100.08
_cell_angle_gamma 90.00
loop_
_atom_site_label
_atom_site_type_symbol
_atom_site_fract_x
_atom_site_fract_y
_atom_site_fract_z
_atom_site_occupancy
Nd1 Nd 0.000 0.000 0.000 1
Sm1 Sm 0.000 0.167 0.500 1
Sm2 Sm 0.000 0.500 0.500 1
Dy1 Dy 0.000 0.333 0.000 1
Tm1 Tm 0.249 0.500 0.249 1
Tm2 Tm 0.250 0.167 0.249 1
```

Values from the calculation:
The volume is 754 Å³/cell. The density is 8.5 Mg/m³. The value obtained for the total magnetization is 0.0 Bohr magnetons per cell. The formation energy from the elements is 0.020 eV/atom.


Entry 2:
A plane-wave DFT calculation with PBE was carried out for an optimized crystal structure of K2HgAu6.

Structure (CIF):
```
data_K2HgAu6
_chemical_formula_sum 'K2 Hg1 Au6'
_space_group_name_H-M_alt 'P -1'
_space_group_IT_number 2
_space_group_name_Hall '-P 1'
_cell_length_a 5.744
_cell_length_b 5.765
_cell_length_c 7.980
_cell_angle_alpha 68.84
_cell_angle_beta 69.01
_cell_angle_gamma 60.41
loop_
_atom_site_label
_atom_site_type_symbol
_atom_site_fract_x
_atom_site_fract_y
_atom_site_fract_z
_atom_site_occupancy
K1 K 0.204 0.204 0.386 1
Hg1 Hg 0.500 0.500 0.500 1
Au1 Au 0.222 0.221 0.838 1
Au2 Au 0.223 0.717 0.838 1
Au3 Au 0.281 0.779 0.163 1
```

Values from the calculation:
The volume is 209 Å³/cell. The density is 11.6 Mg/m³. The value obtained for the total magnetization is 0.0 Bohr magnetons per cell. The formation energy from the elements is -0.169 eV/atom.


Entry 3:
A plane-wave DFT calculation with PBE was carried out for an optimized crystal structure of LaCoSi.

Structure (CIF):
```
data_LaCoSi
_chemical_formula_sum 'La1 Co1 Si1'
_space_group_name_H-M_alt 'P -6 m 2'
_space_group_IT_number 187
_space_group_name_Hall 'P -6 2'
_cell_length_a 4.0253
_cell_length_b 4.0253
_cell_length_c 4.3468
_cell_angle_alpha 90.00
_cell_angle_beta 90.00
_cell_angle_gamma 120.00
loop_
_atom_site_label
_atom_site_type_symbol
_atom_site_fract_x
_atom_site_fract_y
_atom_site_fract_z
_atom_site_occupancy
La1 La 0.0000 0.0000 0.0000 1
Co1 Co 0.3333 0.6667 0.5000 1
Si1 Si 0.6667 0.3333 0.5000 1
```

Values from the calculation:
The volume is 61 Å³/cell. The density is 6.2 Mg/m³. The value obtained for the total magnetization is 0.4 Bohr magnetons per cell. For the uncorrected formation energy, the calculation gives -552 meV per atom.


Entry 4:
A plane-wave DFT calculation with PBE was carried out for an optimized crystal structure of LiCaEr2Au4.

Structure (CIF):
```
data_LiCaEr2Au4
_chemical_formula_sum 'Li3 Ca3 Er6 Au12'
_space_group_name_H-M_alt 'R -3 m'
_space_group_IT_number 166
_space_group_name_Hall '-R 3 2"'
_cell_length_a 4.9517
_cell_length_b 4.9517
_cell_length_c 24.3385
_cell_angle_alpha 90.00
_cell_angle_beta 90.00
_cell_angle_gamma 120.00
loop_
_atom_site_label
_atom_site_type_symbol
_atom_site_fract_x
_atom_site_fract_y
_atom_site_fract_z
_atom_site_occupancy
Li1 Li 0.0000 0.0000 0.0000 1
Ca1 Ca 0.0000 0.0000 0.5000 1
Er1 Er 0.0000 0.0000 0.2548 1
Au1 Au 0.0000 0.0000 0.1202 1
Au2 Au 0.0000 0.0000 0.3753 1
```

Values from the calculation:
The volume is 517 Å³/cell. The density is 11.3 Mg/m³. The value obtained for the total magnetization is 0.0 Bohr magnetons per cell. The formation energy from the elements is -0.756 eV/atom.


Entry 5:
A plane-wave DFT calculation with PBE was carried out for an optimized crystal structure of NdHoSn2.

Structure (CIF):
```
data_NdHoSn2
_chemical_formula_sum 'Nd3 Ho3 Sn6'
_space_group_name_H-M_alt 'R -3 m'
_space_group_IT_number 166
_space_group_name_Hall '-R 3 2"'
_cell_length_a 4.0427
_cell_length_b 4.0427
_cell_length_c 25.8565
_cell_angle_alpha 90.00
_cell_angle_beta 90.00
_cell_angle_gamma 120.00
loop_
_atom_site_label
_atom_site_type_symbol
_atom_site_fract_x
_atom_site_fract_y
_atom_site_fract_z
_atom_site_occupancy
Nd1 Nd 0.0000 0.0000 0.0000 1
Ho1 Ho 0.0000 0.0000 0.5000 1
Sn1 Sn 0.0000 0.0000 0.2473 1
```

Values from the calculation:
The volume is 366 Å³/cell. The density is 7.4 Mg/m³. The value obtained for the total magnetization is 0.0 Bohr magnetons per cell. The formation energy from the elements is -0.523 eV/atom.


Entry 6:
A plane-wave DFT calculation with PBE was carried out for an optimized crystal structure of AlCSe2.

Structure (CIF):
```
data_AlCSe2
_chemical_formula_sum 'Al3 C3 Se6'
_space_group_name_H-M_alt 'R -3 m'
_space_group_IT_number 166
_space_group_name_Hall '-R 3 2"'
_cell_length_a 3.9986
_cell_length_b 3.9986
_cell_length_c 19.4410
_cell_angle_alpha 90.00
_cell_angle_beta 90.00
_cell_angle_gamma 120.00
loop_
_atom_site_label
_atom_site_type_symbol
_atom_site_fract_x
_atom_site_fract_y
_atom_site_fract_z
_atom_site_occupancy
Al1 Al 0.0000 0.0000 0.0000 1
C1 C 0.0000 0.0000 0.5000 1
Se1 Se 0.0000 0.0000 0.4095 1
```

Values from the calculation:
The offset from the most stable computed form is 0.000 eV per atom. The volume is 269 Å³/cell. The density is 3.6 Mg/m³. The value obtained for the total magnetization is 0.0 Bohr magnetons per cell. For the uncorrected formation energy, the calculation gives 815 meV per atom.


Entry 7:
A plane-wave DFT calculation with PBE was carried out for an optimized crystal structure of CoAsOs2.

Structure (CIF):
```
data_CoAsOs2
_chemical_formula_sum 'Co2 As2 Os4'
_space_group_name_H-M_alt 'I -4 m 2'
_space_group_IT_number 119
_space_group_name_Hall 'I -4 -2'
_cell_length_a 3.801
_cell_length_b 3.801
_cell_length_c 7.499
_cell_angle_alpha 90.00
_cell_angle_beta 90.00
_cell_angle_gamma 90.00
loop_
_atom_site_label
_atom_site_type_symbol
_atom_site_fract_x
_atom_site_fract_y
_atom_site_fract_z
_atom_site_occupancy
Co1 Co 0.000 0.000 0.000 1
As1 As 0.000 0.500 0.250 1
Os1 Os 0.000 0.000 0.500 1
Os2 Os 0.000 0.500 0.750 1
```

Values from the calculation:
The volume is 108 Å³/cell. The density is 15.8 Mg/m³. The value obtained for the total magnetization is 0.0 Bohr magnetons per cell. The formation energy from the elements is 0.410 eV/atom.


Entry 8:
A plane-wave DFT calculation with PBE was carried out for an optimized crystal structure of Li2CeGaF8.

Structure (CIF):
```
data_Li2CeGaF8
_chemical_formula_sum 'Li2 Ce1 Ga1 F8'
_space_group_name_H-M_alt 'P -1'
_space_group_IT_number 2
_space_group_name_Hall '-P 1'
_cell_length_a 4.633
_cell_length_b 4.814
_cell_length_c 7.018
_cell_angle_alpha 86.13
_cell_angle_beta 88.45
_cell_angle_gamma 87.51
loop_
_atom_site_label
_atom_site_type_symbol
_atom_site_fract_x
_atom_site_fract_y
_atom_site_fract_z
_atom_site_occupancy
Li1 Li 0.030 0.031 0.303 1
Ce1 Ce 0.500 0.500 0.000 1
Ga1 Ga 0.500 0.500 0.500 1
F1 F 0.150 0.204 0.050 1
F2 F 0.211 0.231 0.508 1
F3 F 0.306 0.696 0.704 1
F4 F 0.316 0.713 0.284 1
```

Values from the calculation:
The volume is 156 Å³/cell. The density is 4.0 Mg/m³. The value obtained for the total magnetization is 1.0 Bohr magnetons per cell. For the uncorrected formation energy, the calculation gives -3139 meV per atom.


Entry 9:
A plane-wave DFT calculation with PBE was carried out for an optimized crystal structure of RbGaF3.

Structure (CIF):
```
data_RbGaF3
_chemical_formula_sum 'Rb6 Ga6 F18'
_space_group_name_H-M_alt 'R -3'
_space_group_IT_number 148
_space_group_name_Hall '-R 3'
_cell_length_a 6.0472
_cell_length_b 6.0472
_cell_length_c 17.8602
_cell_angle_alpha 90.00
_cell_angle_beta 90.00
_cell_angle_gamma 120.00
loop_
_atom_site_label
_atom_site_type_symbol
_atom_site_fract_x
_atom_site_fract_y
_atom_site_fract_z
_atom_site_occupancy
Rb1 Rb 0.0000 0.0000 0.1303 1
Ga1 Ga 0.0000 0.0000 0.3408 1
F1 F 0.0054 0.4214 0.9328 1
```

Values from the calculation:
The volume is 566 Å³/cell. The density is 3.7 Mg/m³. The value obtained for the total magnetization is 0.0 Bohr magnetons per cell. For the uncorrected formation energy, the calculation gives -2325 meV per atom.


Entry 10:
A plane-wave DFT calculation with PBE was carried out for an optimized crystal structure of Cs3Tl4Sb2Pd2.

Structure (CIF):
```
data_Cs3Tl4Sb2Pd2
_chemical_formula_sum 'Cs3 Tl4 Sb2 Pd2'
_space_group_name_H-M_alt 'P -3 m 1'
_space_group_IT_number 164
_space_group_name_Hall '-P 3 2"'
_cell_length_a 4.8249
_cell_length_b 4.8249
_cell_length_c 21.2290
_cell_angle_alpha 90.00
_cell_angle_beta 90.00
_cell_angle_gamma 120.00
loop_
_atom_site_label
_atom_site_type_symbol
_atom_site_fract_x
_atom_site_fract_y
_atom_site_fract_z
_atom_site_occupancy
Cs1 Cs 0.0000 0.0000 0.0000 1
Cs2 Cs 0.0000 0.0000 0.3026 1
Tl1 Tl 0.3333 0.6667 0.4428 1
Tl2 Tl 0.3333 0.6667 0.8766 1
Sb1 Sb 0.3333 0.6667 0.1725 1
Pd1 Pd 0.3333 0.6667 0.5752 1
```

Values from the calculation:
The volume is 428 Å³/cell. The density is 6.5 Mg/m³. The value obtained for the total magnetization is 0.0 Bohr magnetons per cell. For the uncorrected formation energy, the calculation gives -116 meV per atom.


Entry 11:
A plane-wave DFT calculation with PBE was carried out for an optimized crystal structure of BaMgGaSb2.

Structure (CIF):
```
data_BaMgGaSb2
_chemical_formula_sum 'Ba4 Mg4 Ga4 Sb8'
_space_group_name_H-M_alt 'C m m e'
_space_group_IT_number 67
_space_group_name_Hall '-C 2a 2'
_cell_length_a 6.409
_cell_length_b 14.819
_cell_length_c 6.647
_cell_angle_alpha 90.00
_cell_angle_beta 90.00
_cell_angle_gamma 90.00
loop_
_atom_site_label
_atom_site_type_symbol
_atom_site_fract_x
_atom_site_fract_y
_atom_site_fract_z
_atom_site_occupancy
Ba1 Ba 0.000 0.250 0.229 1
Mg1 Mg 0.250 0.000 0.500 1
Ga1 Ga 0.000 0.000 0.000 1
Sb1 Sb 0.000 0.133 0.726 1
```

Values from the calculation:
The volume is 631 Å³/cell. The density is 5.0 Mg/m³. The value obtained for the total magnetization is 0.0 Bohr magnetons per cell. For the uncorrected formation energy, the calculation gives -421 meV per atom.


Entry 12:
A plane-wave DFT calculation with PBE was carried out for an optimized crystal structure of ZrAg2SnPt.

Structure (CIF):
```
data_ZrAg2SnPt
_chemical_formula_sum 'Zr1 Ag2 Sn1 Pt1'
_space_group_name_H-M_alt 'P 4/m m m'
_space_group_IT_number 123
_space_group_name_Hall '-P 4 2'
_cell_length_a 5.104
_cell_length_b 5.104
_cell_length_c 5.530
_cell_angle_alpha 90.00
_cell_angle_beta 90.00
_cell_angle_gamma 90.00
loop_
_atom_site_label
_atom_site_type_symbol
_atom_site_fract_x
_atom_site_fract_y
_atom_site_fract_z
_atom_site_occupancy
Zr1 Zr 0.000 0.000 0.000 1
Ag1 Ag 0.000 0.500 0.000 1
Sn1 Sn 0.000 0.000 0.500 1
Pt1 Pt 0.500 0.500 0.500 1
```

Values from the calculation:
The volume is 144 Å³/cell. The density is 7.2 Mg/m³. The value obtained for the total magnetization is 0.3 Bohr magnetons per cell. The formation energy from the elements is 1.390 eV/atom.